Entry 1:
First-principles (PBE-GGA) data for a geometry-optimized Sm2YIr structure, as listed in Alexandria via LeMat-Bulk.

## Properties
As for the total magnetization: 0.00 μB/f.u. The density of states at the Fermi level is 17.84 states/eV per cell. Its energy above the most stable polymorph in this dataset is 0 meV per atom.

Cell and atoms, written as CIF:
```
data_Sm2YIr
_symmetry_space_group_name_H-M 'P n m a'
_symmetry_Int_Tables_number 62
_cell_length_a 7.295
_cell_length_b 9.673
_cell_length_c 6.394
_cell_angle_alpha 90.00
_cell_angle_beta 90.00
_cell_angle_gamma 90.00
loop_
_symmetry_equiv_pos_as_xyz
'x,y,z'
'-x,-y,-z'
'-x+1/2,-y,z+1/2'
'x+1/2,y,-z+1/2'
'x+1/2,-y+1/2,-z+1/2'
'-x+1/2,y+1/2,z+1/2'
'-x,y+1/2,-z'
'x,-y+1/2,z'
loop_
_atom_site_label
_atom_site_fract_x
_atom_site_fract_y
_atom_site_fract_z
_atom_site_occupancy
Sm1 0.178 0.064 0.173 1
Y1 0.036 0.250 0.640 1
Ir1 0.118 0.750 0.949 1
```

Entry 2:
First-principles (PBE-GGA) data for a geometry-optimized SmYIr2 structure, as listed in Alexandria via LeMat-Bulk.

## Properties
As for the total magnetization: 0.00 μB/f.u. The density of states at the Fermi level is 9.62 states/eV per cell. Its energy above the most stable polymorph in this dataset is 2 meV per atom.

Cell and atoms, written as CIF:
```
data_SmYIr2
_symmetry_space_group_name_H-M 'F m -3 m'
_symmetry_Int_Tables_number 225
_symmetry_space_group_name_Hall '-F 4 2 3'
_cell_length_a 6.941
_cell_length_b 6.941
_cell_length_c 6.941
_cell_angle_alpha 90.00
_cell_angle_beta 90.00
_cell_angle_gamma 90.00
loop_
_atom_site_label
_atom_site_fract_x
_atom_site_fract_y
_atom_site_fract_z
_atom_site_occupancy
Sm1 0.000 0.000 0.000 1
Y1 0.000 0.000 0.500 1
Ir1 0.250 0.250 0.250 1
```

Entry 3:
First-principles (PBE-GGA) data for a geometry-optimized Sm3YIr structure, as listed in Alexandria via LeMat-Bulk.

## Properties
As for the total magnetization: 0.00 μB/f.u. The density of states at the Fermi level is 8.70 states/eV per cell. Its energy above the most stable polymorph in this dataset is 109 meV per atom.

Cell and atoms, written as CIF:
```
data_Sm3YIr
_symmetry_space_group_name_H-M 'P m -3 m'
_symmetry_Int_Tables_number 221
_symmetry_space_group_name_Hall '-P 4 2 3'
_cell_length_a 5.543
_cell_length_b 5.543
_cell_length_c 5.543
_cell_angle_alpha 90.00
_cell_angle_beta 90.00
_cell_angle_gamma 90.00
loop_
_atom_site_label
_atom_site_fract_x
_atom_site_fract_y
_atom_site_fract_z
_atom_site_occupancy
Sm1 0.000 0.000 0.500 1
Y1 0.500 0.500 0.500 1
Ir1 0.000 0.000 0.000 1
```

Entry 4:
First-principles (PBE-GGA) data for a geometry-optimized SmYIr2 structure, as listed in Alexandria via LeMat-Bulk.

## Properties
As for the total magnetization: 0.00 μB/f.u. The density of states at the Fermi level is 5.01 states/eV per cell. Its energy above the most stable polymorph in this dataset is 2 meV per atom.

Cell and atoms, written as CIF:
```
data_SmYIr2
_symmetry_space_group_name_H-M 'P m m a'
_symmetry_Int_Tables_number 51
_cell_length_a 4.995
_cell_length_b 3.345
_cell_length_c 9.994
_cell_angle_alpha 90.00
_cell_angle_beta 90.00
_cell_angle_gamma 90.00
loop_
_symmetry_equiv_pos_as_xyz
'x,y,z'
'-x,-y,-z'
'-x+1/2,-y,z'
'x+1/2,y,-z'
'x+1/2,-y,-z'
'-x+1/2,y,z'
'-x,y,-z'
'x,-y,z'
loop_
_atom_site_label
_atom_site_fract_x
_atom_site_fract_y
_atom_site_fract_z
_atom_site_occupancy
Sm1 0.250 0.000 0.127 1
Y1 0.250 0.000 0.623 1
Ir1 0.250 0.500 0.379 1
Ir2 0.250 0.500 0.871 1
```

Entry 5:
First-principles (PBE-GGA) data for a geometry-optimized Sm2YIr structure, as listed in Alexandria via LeMat-Bulk.

## Properties
As for the total magnetization: 0.69 μB/f.u. The density of states at the Fermi level is 16.28 states/eV per cell. Its energy above the most stable polymorph in this dataset is 439 meV per atom.

Cell and atoms, written as CIF:
```
data_Sm2YIr
_symmetry_space_group_name_H-M 'R -3 m'
_symmetry_Int_Tables_number 166
_symmetry_space_group_name_Hall '-R 3 2"'
_cell_length_a 3.7945
_cell_length_b 3.7945
_cell_length_c 31.9001
_cell_angle_alpha 90.00
_cell_angle_beta 90.00
_cell_angle_gamma 120.00
loop_
_atom_site_label
_atom_site_fract_x
_atom_site_fract_y
_atom_site_fract_z
_atom_site_occupancy
Sm1 0.0000 0.0000 0.1125 1
Y1 0.0000 0.0000 0.0000 1
Ir1 0.0000 0.0000 0.5000 1
```

Entry 6:
First-principles (PBE-GGA) data for a geometry-optimized Sm3YIr structure, as listed in Alexandria via LeMat-Bulk.

## Properties
As for the total magnetization: 0.00 μB/f.u. The density of states at the Fermi level is 12.62 states/eV per cell. Its energy above the most stable polymorph in this dataset is 0 meV per atom.

Cell and atoms, written as CIF:
```
data_Sm3YIr
_symmetry_space_group_name_H-M 'P m n 21'
_symmetry_Int_Tables_number 31
_cell_length_a 7.767
_cell_length_b 6.621
_cell_length_c 6.310
_cell_angle_alpha 90.00
_cell_angle_beta 90.00
_cell_angle_gamma 90.00
loop_
_symmetry_equiv_pos_as_xyz
'x,y,z'
'-x+1/2,-y,z+1/2'
'-x,y,z'
'x+1/2,-y,z+1/2'
loop_
_atom_site_label
_atom_site_fract_x
_atom_site_fract_y
_atom_site_fract_z
_atom_site_occupancy
Sm1 0.000 0.151 0.000 1
Sm2 0.249 0.313 0.503 1
Y1 0.000 0.842 0.508 1
Ir1 0.000 0.502 0.253 1
```

Entry 7:
First-principles (PBE-GGA) data for a geometry-optimized Sm2Y2Ir3 structure, as listed in Alexandria via LeMat-Bulk.

## Properties
As for the total magnetization: 0.00 μB/f.u. The density of states at the Fermi level is 10.26 states/eV per cell. The total energy comes out at -7.728 eV per atom.

Cell and atoms, written as CIF:
```
data_Sm2Y2Ir3
_symmetry_space_group_name_H-M 'R -3 m'
_symmetry_Int_Tables_number 166
_symmetry_space_group_name_Hall '-R 3 2"'
_cell_length_a 4.8530
_cell_length_b 4.8530
_cell_length_c 24.1689
_cell_angle_alpha 90.00
_cell_angle_beta 90.00
_cell_angle_gamma 120.00
loop_
_atom_site_label
_atom_site_fract_x
_atom_site_fract_y
_atom_site_fract_z
_atom_site_occupancy
Sm1 0.0000 0.0000 0.1245 1
Y1 0.0000 0.0000 0.3746 1
Ir1 0.0000 0.0000 0.0000 1
Ir2 0.0000 0.0000 0.2510 1
```

Entry 8:
First-principles (PBE-GGA) data for a geometry-optimized SmYIr2 structure, as listed in Alexandria via LeMat-Bulk.

## Properties
As for the total magnetization: 0.00 μB/f.u. The density of states at the Fermi level is 0.81 states/eV per cell. Its energy above the most stable polymorph in this dataset is 0 meV per atom.

Cell and atoms, written as CIF:
```
data_SmYIr2
_symmetry_space_group_name_H-M 'P 4/m m m'
_symmetry_Int_Tables_number 123
_symmetry_space_group_name_Hall '-P 4 2'
_cell_length_a 4.800
_cell_length_b 4.800
_cell_length_c 3.621
_cell_angle_alpha 90.00
_cell_angle_beta 90.00
_cell_angle_gamma 90.00
loop_
_atom_site_label
_atom_site_fract_x
_atom_site_fract_y
_atom_site_fract_z
_atom_site_occupancy
Sm1 0.000 0.000 0.000 1
Y1 0.500 0.500 0.000 1
Ir1 0.000 0.500 0.500 1
```

Entry 9:
First-principles (PBE-GGA) data for a geometry-optimized SmYZnIr structure, as listed in Alexandria via LeMat-Bulk.

## Properties
As for the total magnetization: 0.00 μB/f.u. The density of states at the Fermi level is 11.09 states/eV per cell. Its energy above the most stable polymorph in this dataset is 2 meV per atom.

Cell and atoms, written as CIF:
```
data_SmYZnIr
_symmetry_space_group_name_H-M 'F -4 3 m'
_symmetry_Int_Tables_number 216
_symmetry_space_group_name_Hall 'F -4 2 3'
_cell_length_a 7.057
_cell_length_b 7.057
_cell_length_c 7.057
_cell_angle_alpha 90.00
_cell_angle_beta 90.00
_cell_angle_gamma 90.00
loop_
_atom_site_label
_atom_site_fract_x
_atom_site_fract_y
_atom_site_fract_z
_atom_site_occupancy
Sm1 0.000 0.000 0.000 1
Y1 0.000 0.000 0.500 1
Zn1 0.250 0.250 0.750 1
Ir1 0.250 0.250 0.250 1
```

Entry 10:
First-principles (PBE-GGA) data for a geometry-optimized SmYZnIr structure, as listed in Alexandria via LeMat-Bulk.

## Properties
As for the total magnetization: 0.00 μB/f.u. The density of states at the Fermi level is 6.25 states/eV per cell. Its energy above the most stable polymorph in this dataset is 0 meV per atom.

Cell and atoms, written as CIF:
```
data_SmYZnIr
_symmetry_space_group_name_H-M 'A m m 2'
_symmetry_Int_Tables_number 38
_cell_length_a 4.365
_cell_length_b 3.961
_cell_length_c 10.736
_cell_angle_alpha 90.00
_cell_angle_beta 90.00
_cell_angle_gamma 90.00
loop_
_symmetry_equiv_pos_as_xyz
'x,y,z'
'-x,-y,z'
'-x,y,z'
'x,-y,z'
'x,y+1/2,z+1/2'
'-x,-y+1/2,z+1/2'
'-x,y+1/2,z+1/2'
'x,-y+1/2,z+1/2'
loop_
_atom_site_label
_atom_site_fract_x
_atom_site_fract_y
_atom_site_fract_z
_atom_site_occupancy
Sm1 0.000 0.000 0.000 1
Y1 0.500 0.000 0.720 1
Zn1 0.500 0.000 0.428 1
Ir1 0.000 0.000 0.287 1
```

Entry 11:
First-principles (PBE-GGA) data for a geometry-optimized SmZn12Ir4 structure, as listed in Alexandria via LeMat-Bulk.

## Properties
As for the total magnetization: 0.00 μB/f.u. The density of states at the Fermi level is 10.18 states/eV per cell. The total energy comes out at -3.111 eV per atom.

Cell and atoms, written as CIF:
```
data_SmZn12Ir4
_symmetry_space_group_name_H-M 'I m -3'
_symmetry_Int_Tables_number 204
_symmetry_space_group_name_Hall '-I 2 2 3'
_cell_length_a 8.697
_cell_length_b 8.697
_cell_length_c 8.697
_cell_angle_alpha 90.00
_cell_angle_beta 90.00
_cell_angle_gamma 90.00
loop_
_atom_site_label
_atom_site_fract_x
_atom_site_fract_y
_atom_site_fract_z
_atom_site_occupancy
Sm1 0.000 0.000 0.000 1
Zn1 0.000 0.161 0.351 1
Ir1 0.250 0.250 0.250 1
```

Entry 12:
First-principles (PBE-GGA) data for a geometry-optimized Sm2ZnIr structure, as listed in Alexandria via LeMat-Bulk.

## Properties
As for the total magnetization: 0.00 μB/f.u. The density of states at the Fermi level is 11.17 states/eV per cell. Its energy above the most stable polymorph in this dataset is 429 meV per atom.

Cell and atoms, written as CIF:
```
data_Sm2ZnIr
_symmetry_space_group_name_H-M 'R -3 m'
_symmetry_Int_Tables_number 166
_symmetry_space_group_name_Hall '-R 3 2"'
_cell_length_a 4.1132
_cell_length_b 4.1132
_cell_length_c 28.4477
_cell_angle_alpha 90.00
_cell_angle_beta 90.00
_cell_angle_gamma 120.00
loop_
_atom_site_label
_atom_site_fract_x
_atom_site_fract_y
_atom_site_fract_z
_atom_site_occupancy
Sm1 0.0000 0.0000 0.1147 1
Zn1 0.0000 0.0000 0.0000 1
Ir1 0.0000 0.0000 0.5000 1
```